# 1
## Li2MgSc2 (GGA-PBE)

Data for a geometry-optimized Li2MgSc2 structure.

Computed properties:
- energy (eV per atom) = -3.38
- SG = I4/mmm, No. 139
- E above lowest polymorph (meV/atom) = 53
- energy of formation (eV/atom) = 0.235

Lattice parameters (Å, degrees): 8.9475 8.9475 8.9475 156.63 156.63 33.29
Sites, in units of the cell vectors:
Li1 0.2500 0.7500 0.5000
Li2 0.7500 0.2500 0.5000
Mg1 0.0000 0.0000 0.0000
Sc1 0.4027 0.4027 0.0000
Sc2 0.5973 0.5973 0.0000

# 2
## LiMg8Sc2 (GGA-PBE)

Data for a geometry-optimized LiMg8Sc2 structure.

Computed properties:
- energy (eV per atom) = -2.50
- SG = C2/m, No. 12
- E above lowest polymorph (meV/atom) = 0
- energy of formation (eV/atom) = -0.019

Lattice parameters (Å, degrees): 8.4247 8.4247 6.6710 100.62 100.62 32.50
Sites, in units of the cell vectors:
Li1 0.0000 0.0000 0.0000
Mg1 0.0928 0.0928 0.4473
Mg2 0.1743 0.1743 0.9003
Mg3 0.3566 0.3566 0.8290
Mg4 0.4633 0.4633 0.2672
Mg5 0.5367 0.5367 0.7328
Mg6 0.6434 0.6434 0.1710
Mg7 0.8257 0.8257 0.0997
Mg8 0.9072 0.9072 0.5527
Sc1 0.2765 0.2765 0.3571
Sc2 0.7235 0.7235 0.6429

# 3
## Li3Mg4Sc (GGA-PBE)

Data for a geometry-optimized Li3Mg4Sc structure.

Computed properties:
- energy (eV per atom) = -2.36
- SG = P4/mmm, No. 123
- energy of formation (eV/atom) = -0.050

Lattice parameters (Å, degrees): 3.4153 3.4153 14.3604 90.00 90.00 90.00
Sites, in units of the cell vectors:
Li1 0.0000 0.0000 0.0000
Li2 0.0000 0.0000 0.2410
Li3 0.0000 0.0000 0.7590
Mg1 0.5000 0.5000 0.1192
Mg2 0.5000 0.5000 0.3570
Mg3 0.5000 0.5000 0.6430
Mg4 0.5000 0.5000 0.8808
Sc1 0.0000 0.0000 0.5000

# 4
## Li2MgSc (GGA-PBE)

Data for a geometry-optimized Li2MgSc structure.

Computed properties:
- energy (eV per atom) = -2.92
- SG = P2_1/m, No. 11
- energy of formation (eV/atom) = 0.020

Lattice parameters (Å, degrees): 3.0948 4.7385 11.9903 90.00 94.94 90.00
Sites, in units of the cell vectors:
Li1 0.0475 0.2500 0.1742
Li2 0.3592 0.7500 0.0609
Li3 0.6408 0.2500 0.9391
Li4 0.9525 0.7500 0.8258
Mg1 0.3202 0.2500 0.6980
Mg2 0.6798 0.7500 0.3020
Sc1 0.2291 0.2500 0.4333
Sc2 0.7709 0.7500 0.5667

# 5
## LiMg3Sc (GGA-PBE)

Data for a geometry-optimized LiMg3Sc structure.

Computed properties:
- energy (eV per atom) = -1.80
- SG = Pm-3m, No. 221
- E above lowest polymorph (meV/atom) = 826
- energy of formation (eV/atom) = 0.807

Lattice parameters (Å, degrees): 5.7001 5.7001 5.7001 90.00 90.00 90.00
Sites, in units of the cell vectors:
Li1 0.0000 0.0000 0.0000
Mg1 0.0000 0.5000 0.5000
Mg2 0.5000 0.0000 0.5000
Mg3 0.5000 0.5000 0.0000
Sc1 0.5000 0.5000 0.5000

# 6
## LiMg2Sc (GGA-PBE)

Data for a geometry-optimized LiMg2Sc structure.

Computed properties:
- energy (eV per atom) = -2.77
- SG = P2/m, No. 10
- E above lowest polymorph (meV/atom) = 119
- energy of formation (eV/atom) = 0.085

Lattice parameters (Å, degrees): 5.5983 3.0795 5.6510 90.00 111.00 90.00
Sites, in units of the cell vectors:
Li1 0.0000 0.0000 0.0000
Mg1 0.5000 0.0000 0.5000
Mg2 0.5000 0.5000 0.0000
Sc1 0.0000 0.5000 0.5000